Record 1
# CdPd4Pt5 PBE relaxed
data_CdPd4Pt5
_cell_length_a 6.627
_cell_length_b 6.627
_cell_length_c 6.627
_cell_angle_alpha 139.37
_cell_angle_beta 101.30
_cell_angle_gamma 92.58
_symmetry_space_group_name_H-M 'P 1'
_symmetry_Int_Tables_number 1
loop_
_symmetry_equiv_pos_as_xyz
'x,y,z'
loop_
_atom_site_label
_atom_site_type_symbol
_atom_site_fract_x
_atom_site_fract_y
_atom_site_fract_z
Cd1 Cd 0.000 0.000 0.000
Pd1 Pd 0.228 0.728 0.500
Pd2 Pd 0.334 0.000 0.334
Pd3 Pd 0.666 0.000 0.666
Pd4 Pd 0.772 0.272 0.500
Pt1 Pt 0.089 0.261 0.828
Pt2 Pt 0.434 0.261 0.172
Pt3 Pt 0.500 0.500 0.000
Pt4 Pt 0.566 0.739 0.828
Pt5 Pt 0.911 0.739 0.172
# Calculated total energy   -5.141 eV per atom
# Fermi-level density of states   9.73 states/eV/f.u.


Record 2
# CaGe2Rh4 PBE relaxed
data_CaGe2Rh4
_cell_length_a 7.738
_cell_length_b 7.738
_cell_length_c 3.900
_cell_angle_alpha 90.00
_cell_angle_beta 90.00
_cell_angle_gamma 90.00
_symmetry_space_group_name_H-M 'P 1'
_symmetry_Int_Tables_number 1
loop_
_symmetry_equiv_pos_as_xyz
'x,y,z'
loop_
_atom_site_label
_atom_site_type_symbol
_atom_site_fract_x
_atom_site_fract_y
_atom_site_fract_z
Ca1 Ca 0.000 0.000 0.000
Ca2 Ca 0.500 0.500 0.500
Ge1 Ge 0.227 0.227 0.500
Ge2 Ge 0.273 0.727 0.000
Ge3 Ge 0.727 0.273 0.000
Ge4 Ge 0.773 0.773 0.500
Rh1 Rh 0.077 0.659 0.500
Rh2 Rh 0.159 0.423 0.000
Rh3 Rh 0.341 0.923 0.500
Rh4 Rh 0.423 0.159 0.000
Rh5 Rh 0.577 0.841 0.000
Rh6 Rh 0.659 0.077 0.500
Rh7 Rh 0.841 0.577 0.000
Rh8 Rh 0.923 0.341 0.500
# Calculated total energy   -6.396 eV per atom
# Fermi-level density of states   5.87 states/eV/f.u.